Entry 1:
{
  "formula": "Mg3CdGa4",
  "functional": "PBE",
  "state": "relaxed",
  "lattice_angstrom": [[7.961, -1.534, 0.000], [7.961, 1.534, 0.000], [-2.139, 0.000, 6.812]],
  "species": ["Mg", "Mg", "Mg", "Cd", "Ga", "Ga", "Ga", "Ga"],
  "fractional_positions": [[0.000, 0.000, 0.000], [0.191, 0.191, 0.636], [0.809, 0.809, 0.364], [0.500, 0.500, 0.500], [0.336, 0.336, 0.047], [0.376, 0.376, 0.713], [0.624, 0.624, 0.287], [0.664, 0.664, 0.953]],
  "volume_a3_per_atom": 20.8,
  "formation_enthalpy_0k_mev_per_atom": -46,
  "relative_energy_mev_per_atom": 47.4,
  "spacegroup": "C2/m (12)",
  "n_ef_per_ev_cell": 2.55,
  "crystal_system": "monoclinic",
  "mass_density_g_cm3": 4.635
}


Entry 2:
{
  "formula": "Mg5CdGa2",
  "functional": "PBE",
  "state": "relaxed",
  "lattice_angstrom": [[4.692, 0.000, 0.000], [-2.346, 4.063, 0.000], [0.000, 0.000, 18.684]],
  "species": ["Mg", "Mg", "Mg", "Mg", "Mg", "Mg", "Mg", "Mg", "Mg", "Mg", "Cd", "Cd", "Ga", "Ga", "Ga", "Ga"],
  "fractional_positions": [[0.000, 0.000, 0.155], [0.000, 0.000, 0.345], [0.000, 0.000, 0.655], [0.000, 0.000, 0.845], [0.333, 0.667, 0.051], [0.333, 0.667, 0.250], [0.333, 0.667, 0.449], [0.667, 0.333, 0.551], [0.667, 0.333, 0.750], [0.667, 0.333, 0.949], [0.333, 0.667, 0.750], [0.667, 0.333, 0.250], [0.333, 0.667, 0.600], [0.333, 0.667, 0.900], [0.667, 0.333, 0.100], [0.667, 0.333, 0.400]],
  "volume_a3_per_atom": 22.3,
  "formation_enthalpy_0k_mev_per_atom": -53,
  "spacegroup": "P6_3/mmc (194)",
  "n_ef_per_ev_cell": 5.10,
  "crystal_system": "hexagonal",
  "mass_density_g_cm3": 3.481
}


Entry 3:
{
  "formula": "Mg6CdGa3",
  "functional": "PBE",
  "state": "relaxed",
  "lattice_angstrom": [[9.227, 0.000, 0.000], [0.000, 4.529, 0.000], [-1.832, 0.000, 9.840]],
  "species": ["Mg", "Mg", "Mg", "Mg", "Mg", "Mg", "Mg", "Mg", "Mg", "Mg", "Mg", "Mg", "Cd", "Cd", "Ga", "Ga", "Ga", "Ga", "Ga", "Ga"],
  "fractional_positions": [[0.068, 0.250, 0.412], [0.148, 0.750, 0.176], [0.231, 0.250, 0.986], [0.313, 0.750, 0.780], [0.367, 0.250, 0.293], [0.410, 0.250, 0.602], [0.590, 0.750, 0.398], [0.633, 0.750, 0.707], [0.687, 0.250, 0.220], [0.769, 0.750, 0.014], [0.852, 0.250, 0.824], [0.932, 0.750, 0.588], [0.456, 0.750, 0.097], [0.544, 0.250, 0.903], [0.040, 0.750, 0.879], [0.114, 0.250, 0.701], [0.282, 0.750, 0.463], [0.718, 0.250, 0.537], [0.886, 0.750, 0.299], [0.960, 0.250, 0.121]],
  "volume_a3_per_atom": 20.6,
  "formation_enthalpy_0k_mev_per_atom": -106,
  "relative_energy_mev_per_atom": 0.0,
  "spacegroup": "P2_1/m (11)",
  "n_ef_per_ev_cell": 5.43,
  "crystal_system": "monoclinic",
  "mass_density_g_cm3": 3.775
}


Entry 4:
{
  "formula": "MgCd5Ga",
  "functional": "PBE",
  "state": "relaxed",
  "lattice_angstrom": [[5.316, -2.867, 0.000], [5.316, 2.867, 0.000], [-2.899, 0.000, 10.414]],
  "species": ["Mg", "Mg", "Cd", "Cd", "Cd", "Cd", "Cd", "Cd", "Cd", "Cd", "Cd", "Cd", "Ga", "Ga"],
  "fractional_positions": [[0.224, 0.776, 0.750], [0.776, 0.224, 0.250], [0.127, 0.175, 0.531], [0.175, 0.127, 0.031], [0.224, 0.301, 0.813], [0.278, 0.722, 0.250], [0.301, 0.224, 0.313], [0.699, 0.776, 0.687], [0.722, 0.278, 0.750], [0.776, 0.699, 0.187], [0.825, 0.873, 0.969], [0.873, 0.825, 0.469], [0.500, 0.500, 0.000], [0.500, 0.500, 0.500]],
  "volume_a3_per_atom": 22.7,
  "formation_enthalpy_0k_mev_per_atom": 29,
  "relative_energy_mev_per_atom": 0.0,
  "spacegroup": "C2/c (15)",
  "n_ef_per_ev_cell": 4.42,
  "crystal_system": "monoclinic",
  "mass_density_g_cm3": 6.864
}


Entry 5:
{
  "formula": "MgCdGa4",
  "functional": "PBE",
  "state": "relaxed",
  "lattice_angstrom": [[6.195, 0.000, 0.000], [0.000, 7.755, 0.000], [-1.359, 0.000, 4.987]],
  "species": ["Mg", "Mg", "Cd", "Cd", "Ga", "Ga", "Ga", "Ga", "Ga", "Ga", "Ga", "Ga"],
  "fractional_positions": [[0.000, 0.250, 0.250], [0.000, 0.750, 0.750], [0.500, 0.249, 0.250], [0.500, 0.751, 0.750], [0.240, 0.075, 0.751], [0.240, 0.925, 0.251], [0.241, 0.425, 0.751], [0.241, 0.575, 0.251], [0.759, 0.425, 0.749], [0.759, 0.575, 0.249], [0.760, 0.075, 0.749], [0.760, 0.925, 0.249]],
  "volume_a3_per_atom": 20.0,
  "formation_enthalpy_0k_mev_per_atom": -11,
  "relative_energy_mev_per_atom": 11.1,
  "spacegroup": "P2/c (13)",
  "n_ef_per_ev_cell": 4.54,
  "crystal_system": "monoclinic",
  "mass_density_g_cm3": 5.761
}


Entry 6:
{
  "formula": "Mg5Cd2Ga2",
  "functional": "PBE",
  "state": "relaxed",
  "lattice_angstrom": [[3.137, 0.000, 0.000], [1.256, 7.742, 0.000], [1.181, 0.669, 7.856]],
  "species": ["Mg", "Mg", "Mg", "Mg", "Mg", "Cd", "Cd", "Ga", "Ga"],
  "fractional_positions": [[0.000, 0.000, 0.000], [0.132, 0.696, 0.538], [0.167, 0.357, 0.800], [0.833, 0.643, 0.200], [0.868, 0.304, 0.462], [0.490, 0.319, 0.133], [0.510, 0.681, 0.867], [0.468, 0.024, 0.667], [0.532, 0.976, 0.333]],
  "volume_a3_per_atom": 21.2,
  "formation_enthalpy_0k_mev_per_atom": -67,
  "relative_energy_mev_per_atom": 8.5,
  "spacegroup": "P-1 (2)",
  "n_ef_per_ev_cell": 2.54,
  "crystal_system": "triclinic",
  "mass_density_g_cm3": 4.228
}


Entry 7:
{
  "formula": "Mg2Cd7Ga2",
  "functional": "PBE",
  "state": "relaxed",
  "lattice_angstrom": [[3.035, -5.165, 0.000], [3.035, 5.165, 0.000], [-1.592, 0.000, 7.977]],
  "species": ["Mg", "Mg", "Cd", "Cd", "Cd", "Cd", "Cd", "Cd", "Cd", "Ga", "Ga"],
  "fractional_positions": [[0.243, 0.757, 0.000], [0.757, 0.243, 0.000], [0.074, 0.566, 0.328], [0.277, 0.277, 0.049], [0.434, 0.926, 0.672], [0.500, 0.500, 0.500], [0.566, 0.074, 0.328], [0.723, 0.723, 0.951], [0.926, 0.434, 0.672], [0.013, 0.013, 0.324], [0.987, 0.987, 0.676]],
  "volume_a3_per_atom": 22.7,
  "formation_enthalpy_0k_mev_per_atom": 20,
  "relative_energy_mev_per_atom": 15.9,
  "spacegroup": "C2/m (12)",
  "n_ef_per_ev_cell": 2.80,
  "crystal_system": "monoclinic",
  "mass_density_g_cm3": 6.473
}


Entry 8:
{
  "formula": "Mg4CdGa3",
  "functional": "PBE",
  "state": "relaxed",
  "lattice_angstrom": [[9.942, 0.000, 0.000], [0.000, 6.436, 0.000], [0.000, 0.000, 4.977]],
  "species": ["Mg", "Mg", "Mg", "Mg", "Mg", "Mg", "Mg", "Mg", "Cd", "Cd", "Ga", "Ga", "Ga", "Ga", "Ga", "Ga"],
  "fractional_positions": [[0.000, 0.243, 0.000], [0.000, 0.757, 0.000], [0.250, 0.247, 0.403], [0.250, 0.753, 0.403], [0.500, 0.243, 0.000], [0.500, 0.757, 0.000], [0.750, 0.247, 0.597], [0.750, 0.753, 0.597], [0.000, 0.500, 0.500], [0.500, 0.500, 0.500], [0.000, 0.000, 0.500], [0.250, 0.000, 0.896], [0.250, 0.500, 0.904], [0.500, 0.000, 0.500], [0.750, 0.000, 0.104], [0.750, 0.500, 0.096]],
  "volume_a3_per_atom": 19.9,
  "formation_enthalpy_0k_mev_per_atom": -113,
  "spacegroup": "Pmma (51)",
  "n_ef_per_ev_cell": 3.48,
  "crystal_system": "orthorhombic",
  "mass_density_g_cm3": 4.367
}


Entry 9:
{
  "formula": "Mg3CdGa8",
  "functional": "PBE",
  "state": "relaxed",
  "lattice_angstrom": [[5.562, 0.000, 0.000], [-2.781, 4.817, 0.000], [0.000, 0.000, 8.812]],
  "species": ["Mg", "Mg", "Mg", "Cd", "Ga", "Ga", "Ga", "Ga", "Ga", "Ga", "Ga", "Ga"],
  "fractional_positions": [[0.000, 0.000, 0.000], [0.000, 0.000, 0.375], [0.333, 0.667, 0.866], [0.333, 0.667, 0.498], [0.010, 0.505, 0.182], [0.321, 0.161, 0.688], [0.495, 0.505, 0.182], [0.495, 0.990, 0.182], [0.667, 0.333, 0.437], [0.667, 0.333, 0.933], [0.839, 0.161, 0.688], [0.839, 0.679, 0.688]],
  "volume_a3_per_atom": 19.7,
  "formation_enthalpy_0k_mev_per_atom": -35,
  "spacegroup": "P3m1 (156)",
  "n_ef_per_ev_cell": 4.48,
  "crystal_system": "trigonal",
  "mass_density_g_cm3": 5.227
}


Entry 10:
{
  "formula": "Mg3Cd2Ga2",
  "functional": "PBE",
  "state": "relaxed",
  "lattice_angstrom": [[-1.604, 2.332, 9.776], [1.604, -2.332, 9.776], [1.604, 2.332, -9.776]],
  "species": ["Mg", "Mg", "Mg", "Cd", "Cd", "Ga", "Ga"],
  "fractional_positions": [[0.000, 0.000, 0.000], [0.295, 0.795, 0.500], [0.705, 0.205, 0.500], [0.428, 0.428, 0.000], [0.572, 0.572, 0.000], [0.151, 0.651, 0.500], [0.849, 0.349, 0.500]],
  "volume_a3_per_atom": 20.9,
  "formation_enthalpy_0k_mev_per_atom": -76,
  "spacegroup": "Immm (71)",
  "n_ef_per_ev_cell": 2.66,
  "crystal_system": "orthorhombic",
  "mass_density_g_cm3": 4.964
}


Entry 11:
{
  "formula": "Mg8Cd3Ga2",
  "functional": "PBE",
  "state": "relaxed",
  "lattice_angstrom": [[6.414, -4.017, 0.000], [6.414, 4.017, 0.000], [-0.567, 0.000, 5.746]],
  "species": ["Mg", "Mg", "Mg", "Mg", "Mg", "Mg", "Mg", "Mg", "Cd", "Cd", "Cd", "Ga", "Ga"],
  "fractional_positions": [[0.063, 0.687, 0.079], [0.099, 0.099, 0.390], [0.310, 0.310, 0.684], [0.313, 0.937, 0.921], [0.687, 0.063, 0.079], [0.690, 0.690, 0.316], [0.901, 0.901, 0.610], [0.937, 0.313, 0.921], [0.318, 0.682, 0.500], [0.500, 0.500, 0.000], [0.682, 0.318, 0.500], [0.291, 0.291, 0.193], [0.709, 0.709, 0.807]],
  "volume_a3_per_atom": 22.8,
  "formation_enthalpy_0k_mev_per_atom": -10,
  "relative_energy_mev_per_atom": 27.7,
  "spacegroup": "C2/m (12)",
  "n_ef_per_ev_cell": 4.46,
  "crystal_system": "monoclinic",
  "mass_density_g_cm3": 3.764
}


Entry 12:
{
  "formula": "MgCdGa3",
  "functional": "PBE",
  "state": "relaxed",
  "lattice_angstrom": [[6.376, 0.000, 0.000], [0.000, 4.459, 0.000], [-0.377, 0.000, 7.020]],
  "species": ["Mg", "Mg", "Cd", "Cd", "Ga", "Ga", "Ga", "Ga", "Ga", "Ga"],
  "fractional_positions": [[0.028, 0.250, 0.335], [0.972, 0.750, 0.665], [0.446, 0.250, 0.137], [0.554, 0.750, 0.863], [0.107, 0.750, 0.074], [0.276, 0.250, 0.711], [0.337, 0.750, 0.439], [0.663, 0.250, 0.561], [0.724, 0.750, 0.289], [0.893, 0.250, 0.926]],
  "volume_a3_per_atom": 20.0,
  "formation_enthalpy_0k_mev_per_atom": -33,
  "relative_energy_mev_per_atom": 0.0,
  "spacegroup": "P2_1/m (11)",
  "n_ef_per_ev_cell": 2.55,
  "crystal_system": "monoclinic",
  "mass_density_g_cm3": 5.756
}